K3MnAg2F9: optimized geometry, PBE with a Hubbard U.

The space group is P-3m1 (No. 164) and the conventional cell measures 6.1571, 6.1571 and 7.5451 Å, with angles of 90.00, 90.00 and 120.00 degrees. The asymmetric unit holds K at (0.0000, 0.0000, 0.0000), K at (0.3333, 0.6667, 0.7001), Mn at (0.0000, 0.0000, 0.5000), Ag at (0.3333, 0.6667, 0.1819), F at (0.0000, 0.5000, 0.0000) and F at (0.1523, 0.3046, 0.3484).

Its total DFT energy (no corrections) is -4.404 eV per atom. The calculated density is 3.7 Mg/m³.